Entry 1:
Density functional theory data (PBE) for an optimized crystal structure of PrSnHRh2.

Results
* space group: Cmcm, No. 63

Lattice parameters (Å, degrees): 3.904 6.176 7.602 90.00 90.00 108.42
Positions (direct):
Pr1 0.458 0.915 0.750
Pr2 0.542 0.085 0.250
Sn1 0.734 0.468 0.750
Sn2 0.266 0.532 0.250
H1 0.000 0.000 0.000
H2 0.000 0.000 0.500
Rh1 0.145 0.290 0.948
Rh2 0.855 0.710 0.052
Rh3 0.145 0.290 0.552
Rh4 0.855 0.710 0.448


Entry 2:
Density functional theory data (PBE) for an optimized crystal structure of PrSnH6Rh3.

Results
* space group: R3, No. 146

Lattice parameters (Å, degrees): 5.034 5.034 5.034 87.07 92.93 87.07
Positions (direct):
Pr1 0.581 0.419 0.581
Sn1 0.995 0.005 0.995
H1 0.353 0.494 0.097
H2 0.506 0.903 0.353
H3 0.099 0.302 0.504
H4 0.698 0.496 0.099
H5 0.504 0.901 0.698
H6 0.097 0.647 0.506
Rh1 0.506 0.800 0.031
Rh2 0.031 0.494 0.200
Rh3 0.200 0.969 0.506


Number 1: E_tot -59.77 eV per cell, volume 17.39 Å³ per atom, M_tot 0.00 Bohr magnetons per cell. Number 2: E_tot -54.51 eV per cell, volume 11.55 Å³ per atom, M_tot 0.00 Bohr magnetons per cell.